Material: YZr2Br
Method: DFT, PBE
State: optimized geometry

Computed properties:
density of states at the Fermi level	4.6	states/eV per cell
distance to the lowest polymorph of the same formula	0.252	eV/f.u.
energy relative to the elements, uncorrected	-256.4	meV/atom

Cell lengths 3.3483, 3.3483, 9.0818 Å; angles 90.00, 90.00, 98.65 degrees
Fractional coordinates of all 4 atoms:
Y 0.0000 0.0000 0.0000
Zr 0.0000 0.0000 0.4908
Zr 0.5000 0.5000 0.2607
Br 0.5000 0.5000 0.7515

***

Material: NaGa2CuSe4
Method: DFT, PBE
State: optimized geometry

Computed properties:
density of states at the Fermi level	0.6	states/eV per cell
energy relative to the elements, uncorrected	-604.9	meV/atom

Cell lengths 7.3690, 7.3690, 7.3690 Å; angles 134.55, 134.55, 66.24 degrees
Fractional coordinates of all 8 atoms:
Na 0.0000 0.0000 0.0000
Ga 0.2500 0.7500 0.5000
Ga 0.7500 0.2500 0.5000
Cu 0.5000 0.5000 0.0000
Se 0.1390 0.1390 0.5443
Se 0.4053 0.8610 0.0000
Se 0.5947 0.5947 0.4557
Se 0.8610 0.4053 0.0000

***

Material: Ac3Pr5Tm2
Method: DFT, PBE
State: optimized geometry

Computed properties:
formation enthalpy at 0 K	328	meV per atom
density of states at the Fermi level	29.7	states/eV per cell

Cell lengths 10.3794, 10.3794, 10.3794 Å; angles 122.42, 93.10, 114.19 degrees
Fractional coordinates of all 20 atoms:
Ac 0.1248 0.2475 0.3723
Ac 0.2500 0.2500 0.0000
Ac 0.3752 0.7475 0.1227
Ac 0.6248 0.2525 0.8773
Ac 0.7500 0.7500 0.0000
Ac 0.8752 0.7525 0.6277
Pr 0.0044 0.7500 0.2544
Pr 0.1195 0.6028 0.7223
Pr 0.2500 0.7500 0.5000
Pr 0.3805 0.1028 0.4834
Pr 0.4956 0.7500 0.7456
Pr 0.5044 0.2500 0.2544
Pr 0.6195 0.8972 0.5166
Pr 0.7500 0.2500 0.5000
Pr 0.8805 0.3972 0.2777
Pr 0.9956 0.2500 0.7456
Tm 0.1369 0.9101 0.0471
Tm 0.3631 0.4101 0.7732
Tm 0.6369 0.5899 0.2268
Tm 0.8631 0.0899 0.9529

***

Material: Sm8Ho3Tl
Method: DFT, PBE
State: optimized geometry

Computed properties:
formation enthalpy at 0 K	485	meV per atom
density of states at the Fermi level	16.5	states/eV per cell

Cell lengths 8.4012, 8.4012, 8.4012 Å; angles 117.86, 117.86, 93.74 degrees
Fractional coordinates of all 12 atoms:
Sm 0.1170 0.1170 0.7448
Sm 0.2222 0.2222 0.4882
Sm 0.2660 0.7778 0.0000
Sm 0.3722 0.3722 0.2552
Sm 0.6278 0.8830 0.0000
Sm 0.7340 0.7340 0.5118
Sm 0.7778 0.2660 0.0000
Sm 0.8830 0.6278 0.0000
Ho 0.0000 0.0000 0.0000
Ho 0.2500 0.7500 0.5000
Ho 0.7500 0.2500 0.5000
Tl 0.5000 0.5000 0.0000

***

What is the formula in the fourth record?
Sm8Ho3Tl

***

Copy entry 4 word for word.
Material: Sm8Ho3Tl
Method: DFT, PBE
State: optimized geometry

Computed properties:
formation enthalpy at 0 K	485	meV per atom
density of states at the Fermi level	16.5	states/eV per cell

Cell lengths 8.4012, 8.4012, 8.4012 Å; angles 117.86, 117.86, 93.74 degrees
Fractional coordinates of all 12 atoms:
Sm 0.1170 0.1170 0.7448
Sm 0.2222 0.2222 0.4882
Sm 0.2660 0.7778 0.0000
Sm 0.3722 0.3722 0.2552
Sm 0.6278 0.8830 0.0000
Sm 0.7340 0.7340 0.5118
Sm 0.7778 0.2660 0.0000
Sm 0.8830 0.6278 0.0000
Ho 0.0000 0.0000 0.0000
Ho 0.2500 0.7500 0.5000
Ho 0.7500 0.2500 0.5000
Tl 0.5000 0.5000 0.0000

***

Which formula does entry 1 have?
YZr2Br

***

Among the records above, which one has the highest density of states at the Fermi level?
Ac3Pr5Tm2